A relaxed structure of MgTcPH, computed with PBE-GGA.

POSCAR file:
```
MgTcPH
1.0
3.142 0.000 0.000
0.000 1.552 5.125
0.000 -1.552 5.125
Mg Tc P H
1 1 1 1
Cartesian
0.000 0.000 0.000
1.571 0.000 3.215
0.000 0.000 7.349
1.571 0.000 4.938
```

Computed properties:
- Magnetization: 0.00 μB per cell
- E above lowest polymorph: 0 meV per atom
- E: -5.564 eV/atom
- Space group: Amm2